Material: PrEuAlZn
Method: DFT, PBE
State: optimized geometry

It has space group F-43m (No. 216), with a = 7.523 Å, b = 7.523 Å, c = 7.523 Å, α = 90.00°, β = 90.00° and γ = 90.00°. The inequivalent atoms are Pr at (0.000, 0.000, 0.000), Eu at (0.000, 0.000, 0.500), Al at (0.250, 0.250, 0.250) and Zn at (0.250, 0.250, 0.750).

For the formation energy, the calculation gives -0.2689 eV/atom.